# SiAsRu2Au

A relaxed structure of SiAsRu2Au (PBE, the Alexandria database).

a = 4.5446 Å, b = 4.6879 Å, c = 4.5446 Å
α = 90.00°, β = 90.00°, γ = 90.00°
Last column: nearest neighbours and their distance in Å.
Fractional positions:
Ru  0.5000  0.0000  0.0000  2 As 2.27
Ru  0.0000  0.0000  0.5000  2 As 2.27
As  0.0000  0.0000  0.0000  4 Ru 2.27, 2 Si 2.34
Au  0.5000  0.5000  0.5000  4 Si 3.21, 8 Ru 3.26
Si  0.0000  0.5000  0.0000  2 As 2.34

Computed properties:
Formation energy (no corrections), kJ/mol of atoms: 101.85
Symmetry: P4/mmm, No. 123
Calculated total energy, eV for the cell shown: -26.62
Fermi-level density of states, states/eV/f.u.: 5.1

***

# Cs3Dy2InS6

A relaxed structure of Cs3Dy2InS6 (PBE, the Alexandria database).

a = 7.0609 Å, b = 7.0609 Å, c = 8.3940 Å
α = 98.08°, β = 98.08°, γ = 119.99°
Last column: nearest neighbours and their distance in Å.
Fractional positions:
S  0.2675  0.2675  0.8186  1 In 2.74, 2 Dy 2.78
S  0.6124  0.9399  0.8197  1 In 2.73, 2 Dy 2.78-2.79
S  0.9399  0.6124  0.8197  1 In 2.73, 2 Dy 2.78-2.79
S  0.3876  0.0601  0.1803  1 In 2.73, 2 Dy 2.78-2.79
S  0.7325  0.7325  0.1814  1 In 2.74, 2 Dy 2.78
S  0.0601  0.3876  0.1803  1 In 2.73, 2 Dy 2.78-2.79
Dy  0.6664  0.3336  0.0000  6 S 2.78-2.79
Dy  0.3336  0.6664  0.0000  6 S 2.78-2.79
Cs  0.5000  0.5000  0.5000  6 S 3.47-3.51
Cs  0.8322  0.1678  0.5000  6 S 3.48-3.51
Cs  0.1678  0.8322  0.5000  6 S 3.48-3.51
In  0.0000  0.0000  0.0000  6 S 2.73-2.74

Computed properties:
Formation energy (no corrections), kJ/mol of atoms: -142.36
Symmetry: C2/m, No. 12
Calculated total energy, eV for the cell shown: -56.97
Fermi-level density of states, states/eV/f.u.: 0.0

***

# CrIn2Sb

A relaxed structure of CrIn2Sb (PBE, the Alexandria database).

a = 9.8556 Å, b = 9.8556 Å, c = 9.8556 Å
α = 19.66°, β = 19.66°, γ = 19.66°
Last column: nearest neighbours and their distance in Å.
Fractional positions:
In  0.0089  0.0089  0.0089  3 Cr 2.90
In  0.4911  0.4911  0.4911  3 Cr 2.90
Cr  0.7500  0.7500  0.7500  6 In 2.90
Sb  0.2500  0.2500  0.2500  6 In 3.31, 6 Sb 3.37

Computed properties:
Formation energy (no corrections), kJ/mol of atoms: 34.85
Symmetry: R-3m, No. 166
Calculated total energy, eV for the cell shown: -17.78
Fermi-level density of states, states/eV/f.u.: 2.2

***

# ScHgMo2

A relaxed structure of ScHgMo2 (PBE, the Alexandria database).

a = 4.2903 Å, b = 2.9426 Å, c = 6.1276 Å
α = 72.04°, β = 90.00°, γ = 90.00°
Last column: nearest neighbours and their distance in Å.
Fractional positions:
Mo  0.0000  0.0790  0.0340  2 Mo 2.56, 1 Sc 2.84
Mo  0.5000  0.2192  0.2310  2 Mo 2.56, 2 Sc 2.84
Hg  0.5000  0.7664  0.7485  6 Mo 2.90-3.09, 2 Hg 2.94, 4 Sc 3.02
Sc  0.0000  0.4354  0.4865  3 Mo 2.84, 2 Sc 2.94, 4 Hg 3.02

Computed properties:
Symmetry: Pm, No. 6
Calculated total energy, eV for the cell shown: -27.72
Fermi-level density of states, states/eV/f.u.: 2.5

***

# AcGd2In

A relaxed structure of AcGd2In (PBE, the Alexandria database).

a = 3.7244 Å, b = 3.7244 Å, c = 9.3750 Å
α = 90.00°, β = 90.00°, γ = 90.00°
Last column: nearest neighbours and their distance in Å.
Fractional positions:
In  0.5000  0.5000  0.0000  8 Gd 3.31
Gd  0.0000  0.0000  0.2145  4 In 3.31
Gd  0.0000  0.0000  0.7855  4 In 3.31
Ac  0.5000  0.5000  0.5000  4 Ac 3.72, 8 Gd 3.76

Computed properties:
Relative energy among the computed polymorphs, kJ/mol of atoms: 0.0
Symmetry: P4/mmm, No. 123
Calculated total energy, eV for the cell shown: -35.93
Fermi-level density of states, states/eV/f.u.: 3.2

***

# Mg2PtBr2

A relaxed structure of Mg2PtBr2 (PBE, the Alexandria database).

a = 7.4971 Å, b = 7.4971 Å, c = 4.5224 Å
α = 90.00°, β = 90.00°, γ = 90.00°
Last column: nearest neighbours and their distance in Å.
Fractional positions:
Br  0.8436  0.3436  0.5000  2 Mg 2.62
Br  0.1564  0.6564  0.5000  2 Mg 2.62
Br  0.3436  0.1564  0.5000  2 Mg 2.62
Br  0.6564  0.8436  0.5000  2 Mg 2.62
Pt  0.5000  0.5000  0.0000  4 Mg 2.67
Pt  0.0000  0.0000  0.0000  4 Mg 2.67
Mg  0.7810  0.7190  0.0000  2 Br 2.62, 2 Pt 2.67
Mg  0.7190  0.2190  0.0000  2 Br 2.62, 2 Pt 2.67
Mg  0.2810  0.7810  0.0000  2 Br 2.62, 2 Pt 2.67
Mg  0.2190  0.2810  0.0000  2 Br 2.62, 2 Pt 2.67

Computed properties:
Relative energy among the computed polymorphs, kJ/mol of atoms: 0.0
Formation energy (no corrections), kJ/mol of atoms: -37.01
Symmetry: P4/mbm, No. 127
Calculated total energy, eV for the cell shown: -28.99
Fermi-level density of states, states/eV/f.u.: 1.4